Computed, not measured: crystalline PuFeNi2O6 at its relaxed geometry at the GGA+U level of DFT.

a b c (Å): 5.254 5.254 5.665
angles (deg): 62.36 62.36 60.00
Fractional positions:
O1 0.620 0.213 0.260
O2 0.907 0.620 0.260
O3 0.426 0.725 0.748
O4 0.100 0.426 0.748
O5 0.213 0.907 0.260
O6 0.725 0.100 0.748
Ni1 0.519 0.519 0.444
Ni2 0.017 0.017 0.950
Pu1 0.318 0.318 0.047
Fe1 0.817 0.817 0.550

Electronic total energy, eV per atom: -7.20